Record 1
The following is a PBE calculation of a relaxed Na3CaRu crystal, from the Alexandria database. Values from VASP.

Output
* uncorrected energy: -10.9 eV per formula unit
* relative energy among the computed polymorphs: 0 meV per atom

```
&SYSTEM
  ibrav = 0, nat = 5, ntyp = 3
/
ATOMIC_SPECIES
Ru 101.07 Ru.upf
Ca 40.08 Ca.upf
Na 22.99 Na.upf
CELL_PARAMETERS angstrom
-3.792 -3.742 -0.883
2.437 -1.380 -4.617
2.974 -3.640 2.658
ATOMIC_POSITIONS crystal
Ru 0.000 0.000 0.000
Ca 0.500 0.500 0.500
Na 0.000 0.500 0.000
Na 0.000 0.000 0.500
Na 0.500 0.000 0.000
```

***

Record 2
The following is a PBE calculation of a relaxed NaCaRu2Se crystal, from the Alexandria database. Values from VASP.

Output
* uncorrected energy: -18.0 eV per formula unit
* formation energy (no corrections): 33.839 kcal/mol of atoms

```
&SYSTEM
  ibrav = 0, nat = 5, ntyp = 4
/
ATOMIC_SPECIES
Ru 101.07 Ru.upf
Ca 40.08 Ca.upf
Se 78.96 Se.upf
Na 22.99 Na.upf
CELL_PARAMETERS angstrom
-3.926 2.501 -0.571
-0.278 -1.582 -5.019
-2.554 -3.709 1.310
ATOMIC_POSITIONS crystal
Ru 0.000 0.000 0.500
Ru 0.500 0.000 0.000
Ca 0.000 0.500 0.000
Se 0.500 0.500 0.500
Na 0.000 0.000 0.000
```